(1)
La3Br (meta-GGA SCAN, PBEsol geometry); energy above the most stable polymorph in this dataset = 0.49 eV per formula unit; formation energy (no corrections) = -0.61 eV/atom; M_tot = 0.0 μB per cell; space group = Imm2 (44)
1.0
-1.8763 4.8684 3.2813
1.8763 -4.8684 3.2813
1.8763 4.8684 -3.2813
La Br
3 1
direct
0.0000 0.0000 0.0000 La
0.1809 0.3859 0.7951 La
0.5908 0.3859 0.2049 La
0.6345 0.1345 0.5000 Br


(2)
LaBr (meta-GGA SCAN, PBEsol geometry); formation energy (no corrections) = -1.38 eV/atom; M_tot = 0.8 μB per cell; space group = Cm (8)
1.0
7.0942 -1.8577 0.0000
7.0942 1.8577 0.0000
-2.7450 0.0000 6.9257
La Br
3 3
direct
0.0000 0.0000 0.0000 La
0.0836 0.0836 0.5583 La
0.7363 0.7363 0.9808 La
0.3190 0.3190 0.7421 Br
0.4083 0.4083 0.2686 Br
0.6572 0.6572 0.2974 Br


(3)
La3Br (meta-GGA SCAN, PBEsol geometry); energy above the most stable polymorph in this dataset = 0.00 eV per formula unit; formation energy (no corrections) = -0.73 eV/atom; M_tot = 0.0 μB per cell; space group = R-3m (166)
1.0
1.8634 1.0758 10.4709
-1.8634 1.0758 10.4709
0.0000 -2.1517 10.4709
La Br
3 1
direct
0.0000 0.0000 0.0000 La
0.2419 0.2419 0.2419 La
0.7581 0.7581 0.7581 La
0.5000 0.5000 0.5000 Br


(4)
LaBr (meta-GGA SCAN, PBEsol geometry); formation energy (no corrections) = -1.48 eV/atom; M_tot = 0.0 μB per cell; space group = R-3m (166)
1.0
1.8603 1.0740 4.4929
-1.8603 1.0740 4.4929
0.0000 -2.1480 4.4929
La Br
1 1
direct
0.0000 0.0000 0.0000 La
0.5000 0.5000 0.5000 Br


(5)
LaBr (meta-GGA SCAN, PBEsol geometry); formation energy (no corrections) = -1.26 eV/atom; M_tot = 2.3 μB per cell; space group = Imma (74)
1.0
-1.8150 2.5087 6.2818
1.8150 -2.5087 6.2818
1.8150 2.5087 -6.2818
La Br
2 2
direct
0.3674 0.1174 0.2500 La
0.6326 0.8826 0.7500 La
0.1439 0.3939 0.7500 Br
0.8561 0.6061 0.2500 Br


(6)
LaBr (meta-GGA SCAN, PBEsol geometry); formation energy (no corrections) = -1.47 eV/atom; M_tot = 0.0 μB per cell; space group = P-6m2 (187)
1.0
3.7010 0.0000 0.0000
-1.8505 3.2052 0.0000
0.0000 0.0000 4.6328
La Br
1 1
direct
0.0000 0.0000 0.0000 La
0.6667 0.3333 0.5000 Br


(7)
LaBr3 (meta-GGA SCAN, PBEsol geometry); formation energy (no corrections) = -2.25 eV/atom; M_tot = 0.0 μB per cell; space group = P6_3/m (176)
1.0
7.9182 0.0000 0.0000
-3.9591 6.8573 0.0000
0.0000 0.0000 4.4446
La Br
2 6
direct
0.3333 0.6667 0.2500 La
0.6667 0.3333 0.7500 La
0.0860 0.7003 0.7500 Br
0.2997 0.3856 0.7500 Br
0.3856 0.0860 0.2500 Br
0.6144 0.9140 0.7500 Br
0.7003 0.6144 0.2500 Br
0.9140 0.2997 0.2500 Br


(8)
LaBr3 (meta-GGA SCAN, PBEsol geometry); formation energy (no corrections) = -2.14 eV/atom; M_tot = 0.0 μB per cell; space group = P2/m (10)
1.0
5.8117 0.0000 0.0000
0.0000 4.3750 0.0000
-2.8971 0.0000 6.6349
La Br
1 3
direct
0.0000 0.0000 0.0000 La
0.1460 0.5000 0.2919 Br
0.5000 0.0000 0.0000 Br
0.8540 0.5000 0.7081 Br